# Sr2LiNi12P3

A relaxed structure of Sr2LiNi12P3 (PBE, Alexandria via LeMat-Bulk).

Properties
DOS(E_F): 13.4 states/eV/f.u.
formation energy: 0.018 eV per atom
final energy: -5.0312 eV/atom

Geometry as POSCAR:
```
Sr2LiNi12P3
1.0
-1.320 4.614 -4.129
-5.955 -1.783 -1.195
-2.768 3.905 4.143
Sr Li Ni P
2 1 12 3
Direct
0.626 0.626 0.626
0.374 0.374 0.374
0.000 0.000 0.000
0.353 0.353 0.916
0.830 0.830 0.313
0.313 0.830 0.830
0.916 0.353 0.353
0.830 0.313 0.830
0.353 0.916 0.353
0.647 0.647 0.084
0.170 0.170 0.687
0.687 0.170 0.170
0.084 0.647 0.647
0.170 0.687 0.170
0.647 0.084 0.647
0.500 0.000 0.000
0.000 0.500 0.000
0.000 0.000 0.500
```

***

# SmEr3Tm2Te6

A relaxed structure of SmEr3Tm2Te6 (PBE, Alexandria via LeMat-Bulk).

Properties
formation energy from raw total energies: -118.3 kJ/mol of atoms
DOS(E_F): 6.8 states/eV/f.u.
final energy: -5.0762 eV/atom

Geometry as POSCAR:
```
SmEr3Tm2Te6
1.0
-0.987 3.911 1.511
2.663 -2.399 7.949
8.336 1.550 -4.708
Sm Er Tm Te
1 3 2 6
Direct
0.500 0.000 0.000
0.500 0.500 0.000
0.839 0.168 0.678
0.161 0.832 0.322
0.837 0.672 0.673
0.163 0.328 0.327
0.328 0.914 0.656
0.669 0.582 0.338
0.672 0.086 0.344
0.002 0.258 0.003
0.998 0.742 0.997
0.331 0.418 0.662
```

***

# KY2Tc

A relaxed structure of KY2Tc (PBE, Alexandria via LeMat-Bulk).

Properties
ΔE to the lowest computed polymorph: 3.42 eV/f.u.
DOS(E_F): 3.2 states/eV/f.u.
formation energy: 0.977 eV per atom
final energy: -5.1206 eV/atom

Geometry as POSCAR:
```
KY2Tc
1.0
5.298 0.000 0.000
2.649 4.588 0.000
2.649 1.529 4.326
K Tc Y
1 1 2
Direct
0.500 0.500 0.500
0.750 0.750 0.750
0.000 0.000 0.000
0.250 0.250 0.250
```

***

# Hf6Ti2In

A relaxed structure of Hf6Ti2In (PBE, Alexandria via LeMat-Bulk).

Properties
DOS(E_F): 10.4 states/eV/f.u.
formation energy: 0.135 eV per atom
final energy: -8.5598 eV/atom

Geometry as POSCAR:
```
Hf6Ti2In
1.0
7.974 0.074 -0.344
-2.953 7.407 0.344
-2.973 -3.430 6.565
Hf Ti In
12 4 2
Direct
0.517 0.713 0.804
0.483 0.287 0.196
0.092 0.287 0.804
0.908 0.713 0.196
0.795 0.754 0.548
0.205 0.246 0.452
0.205 0.754 0.959
0.795 0.246 0.041
0.720 0.404 0.684
0.280 0.596 0.316
0.280 0.964 0.684
0.720 0.036 0.316
0.500 0.370 0.870
0.500 0.630 0.130
0.641 0.000 0.641
0.359 0.000 0.359
0.000 0.500 0.500
0.000 0.000 0.000
```

***

# Cs6SI4

A relaxed structure of Cs6SI4 (PBE, Alexandria via LeMat-Bulk).

Properties
formation energy from raw total energies: -134.3 kJ/mol of atoms
DOS(E_F): 0.0 states/eV/f.u.
final energy: -2.7963 eV/atom

Geometry as POSCAR:
```
Cs6SI4
1.0
10.794 0.026 -0.117
0.116 10.793 -0.117
-0.027 -0.026 10.795
Cs S I
12 2 8
Direct
0.708 0.059 0.073
0.073 0.292 0.059
0.573 0.441 0.208
0.941 0.073 0.708
0.559 0.208 0.573
0.208 0.427 0.441
0.792 0.573 0.559
0.441 0.792 0.427
0.059 0.927 0.292
0.427 0.559 0.792
0.927 0.708 0.941
0.292 0.941 0.927
0.500 0.500 0.500
0.000 0.000 0.000
0.374 0.126 0.250
0.874 0.250 0.374
0.250 0.626 0.126
0.250 0.250 0.750
0.750 0.750 0.250
0.750 0.374 0.874
0.126 0.750 0.626
0.626 0.874 0.750
```

***

# Li4ZnCu3

A relaxed structure of Li4ZnCu3 (PBE, Alexandria via LeMat-Bulk).

Properties
ΔE to the lowest computed polymorph: 0.27 eV/f.u.
DOS(E_F): 2.5 states/eV/f.u.
formation energy: 0.004 eV per atom
final energy: -2.6481 eV/atom

Geometry as POSCAR:
```
Li4ZnCu3
1.0
2.514 0.000 -0.535
-0.400 4.015 -1.880
1.424 -1.654 12.870
Zn Cu Li
1 3 4
Direct
0.500 0.000 0.000
0.000 0.500 0.000
0.208 0.247 0.416
0.792 0.753 0.584
0.398 0.094 0.797
0.602 0.906 0.203
0.684 0.678 0.369
0.316 0.322 0.631
```